Entry 1:
The following is a GGA-PBE calculation of a geometry-optimized MgZrCdAg structure, from Alexandria.

Cell and atoms, written as extended XYZ:
```
4
Lattice="3.166 0.000 0.000 0.000 3.166 0.000 0.000 0.000 8.127" Properties=species:S:1:pos:R:3 pbc="T T T"
Mg 1.583 1.583 2.742
Zr 1.583 1.583 6.593
Cd 0.000 0.000 0.633
Ag 0.000 0.000 4.536
```

Summary:
E_form in eV/f.u.: -0.5
D(E_F) in states/eV/atom: 0.6657
Raw total energy in eV/atom: -3.608
Energy above the most stable polymorph in this dataset in eV per atom: 0.0000

---

Entry 2:
The following is a GGA-PBE calculation of a geometry-optimized PrNdGdHg structure, from Alexandria.

Cell and atoms, written as extended XYZ:
```
4
Lattice="-1.370 3.329 -4.216 -3.782 -1.636 -3.709 -4.990 2.412 -0.119" Properties=species:S:1:pos:R:3 pbc="T T T"
Pr -2.536 1.026 -2.011
Gd -5.071 2.053 -4.022
Nd -7.607 3.079 -6.033
Hg 0.000 0.000 0.000
```

Summary:
E_form in eV/f.u.: -0.4
D(E_F) in states/eV/atom: 1.5266
Raw total energy in eV/atom: -6.076

---

Entry 3:
The following is a GGA-PBE calculation of a geometry-optimized NdSmZn2 structure, from Alexandria.

Cell and atoms, written as extended XYZ:
```
4
Lattice="3.694 0.000 0.000 1.847 3.199 0.000 1.847 1.066 9.124" Properties=species:S:1:pos:R:3 pbc="T T T"
Zn 5.541 3.199 6.876
Zn 1.847 1.066 2.248
Nd 3.694 2.133 4.562
Sm 0.000 0.000 0.000
```

Summary:
E_form in eV/f.u.: -0.4
D(E_F) in states/eV/atom: 1.1593
Raw total energy in eV/atom: -3.098
Energy above the most stable polymorph in this dataset in eV per atom: 0.2246

---

Entry 4:
The following is a GGA-PBE calculation of a geometry-optimized Pr3ZnOs structure, from Alexandria.

Cell and atoms, written as extended XYZ:
```
10
Lattice="-2.052 -3.883 4.117 1.311 -2.586 -5.275 7.930 1.917 3.104" Properties=species:S:1:pos:R:3 pbc="T T T"
Pr 1.265 -3.049 -2.662
Pr 5.924 -1.503 4.607
Pr 2.398 -0.301 0.147
Pr 4.791 -4.252 1.799
Pr 1.609 -3.697 0.736
Pr 5.580 -0.856 1.210
Zn 2.799 -2.209 3.391
Zn 4.390 -2.343 -1.445
Os -0.185 -1.617 -0.290
Os -0.556 -4.852 -0.869
```

Summary:
E_form in eV/f.u.: -0.7
D(E_F) in states/eV/atom: 0.7585
Raw total energy in eV/atom: -5.514

---

Entry 5:
The following is a GGA-PBE calculation of a geometry-optimized Ac2La2Er3 structure, from Alexandria.

Cell and atoms, written as extended XYZ:
```
14
Lattice="-9.266 -9.090 0.207 7.917 3.304 -2.877 4.417 -4.339 7.171" Properties=species:S:1:pos:R:3 pbc="T T T"
Ac 2.259 -7.427 4.357
Ac 6.290 -2.290 3.275
Ac -3.222 -7.836 1.226
Ac 0.809 -2.699 0.144
La 3.132 -5.150 1.492
La 9.777 -2.582 4.655
La -6.709 -7.543 -0.154
La -0.064 -4.975 3.009
Er 2.208 -2.170 3.586
Er -4.633 -4.545 0.103
Er -1.200 -5.546 -0.524
Er -1.097 -8.406 3.941
Er 4.165 -1.720 0.560
Er 4.268 -4.580 5.025
```

Summary:
E_form in eV/f.u.: 1.2
D(E_F) in states/eV/atom: 1.3959
Raw total energy in eV/atom: -4.362

---

Entry 6:
The following is a GGA-PBE calculation of a geometry-optimized NbInTc2 structure, from Alexandria.

Cell and atoms, written as extended XYZ:
```
8
Lattice="-2.070 -6.952 0.656 6.194 -1.512 3.519 0.812 -3.627 4.549" Properties=species:S:1:pos:R:3 pbc="T T T"
Nb 2.062 -4.232 2.088
Nb 4.534 -4.686 5.078
Tc -0.247 -5.207 1.965
Tc 3.746 -2.955 3.441
Tc 2.364 -5.946 5.096
Tc 4.009 -10.076 6.947
In 0.000 0.000 0.000
In 0.402 -7.406 3.646
```

Summary:
E_form in eV/f.u.: 2.9
D(E_F) in states/eV/atom: 1.0042
Raw total energy in eV/atom: -7.671